VASP calculation (PBE with a Hubbard U) on Mn3CrF after structural relaxation.

crystal system	cubic
magnetization	9.91	μB/f.u.
distance to the lowest polymorph of the same formula	465	meV/atom
calculated density	2.9	g cm⁻³
calculated volume	27.0	Å³ per atom

Lattice parameters (Å, degrees): 5.1302 5.1302 5.1302 90.00 90.00 90.00
Last column: nearest neighbours and their distance in Å.
Space group Pm-3m (No. 221)
Symmetry-distinct sites (fractional):
Mn 0.0000 0.0000 0.5000 x3  2 Cr 2.57
Cr 0.0000 0.0000 0.0000 x1  6 Mn 2.57
F 0.5000 0.5000 0.5000 x1  12 Mn 3.63